# Nd2ErAg5

Nd2ErAg5 after structural relaxation (GGA-PBE, Alexandria).

```
Nd2ErAg5
1.0
5.1281 0.0000 0.0000
0.0000 5.1281 0.0000
-2.5640 -2.5640 7.1936
Er Ag Nd
1 5 2
Cartesian
0.0000 0.0000 0.0000
0.0000 2.5641 1.5974
2.5640 2.5640 0.0000
2.5640 0.0000 1.5974
0.0000 2.5640 5.5962
2.5641 0.0000 5.5962
2.5641 2.5641 3.3170
0.0000 0.0000 3.8766
```

Output
Energy of formation from the pure elements: -206 meV per atom

# Pr6AgHg6

Pr6AgHg6 after structural relaxation (GGA-PBE, Alexandria).

```
Pr6AgHg6
1.0
6.4699 -0.0004 0.0000
-3.2345 5.6033 0.0000
0.0000 0.0000 10.7140
Hg Ag Pr
6 1 6
Cartesian
3.2349 -0.0002 8.0650
1.6177 2.8015 2.6491
1.6177 2.8015 8.0649
-1.6172 2.8017 2.6490
-1.6172 2.8017 8.0650
3.2349 -0.0002 2.6490
0.0000 0.0000 0.0000
0.0003 3.7354 0.0000
0.0003 3.7354 5.3570
3.2351 1.8675 0.0000
0.0000 0.0000 7.4620
3.2351 1.8675 5.3570
0.0000 0.0000 3.2520
```

Output
Energy of formation from the pure elements: -239 meV per atom

# TbHoEr

TbHoEr after structural relaxation (GGA-PBE, Alexandria).

```
TbHoEr
1.0
-0.8840 -0.6073 -3.3185
2.1545 -5.4558 -1.4023
-8.0871 -3.9832 2.8849
Tb Er Ho
2 2 2
Cartesian
-3.7787 -7.4127 -2.2879
-3.3454 -4.1104 -1.1786
-5.7461 -4.6685 1.3967
-0.4939 -6.2473 -1.5447
-0.4765 -2.6902 -2.2032
-6.6478 -8.8330 -1.2633
```

Output
Energy of formation from the pure elements: 123 meV per atom

# Cu2PO4

Cu2PO4 after structural relaxation (GGA-PBE, Alexandria).

```
Cu2PO4
1.0
0.9221 0.2985 -5.2357
-1.8248 -4.9655 -0.6045
-2.4470 3.4530 2.4734
P Cu O
1 2 4
Cartesian
0.0000 0.0000 0.0000
0.4611 0.1492 -2.6178
-0.9124 -2.4827 -0.3022
-0.8784 -0.5688 -1.1676
-3.0595 -0.8355 1.1406
-1.4543 -3.5458 -4.8929
-1.3072 2.5222 -1.8136
```

Output
Energy relative to the elements, uncorrected: -1.183 eV per atom

# LaZrIr

LaZrIr after structural relaxation (GGA-PBE, Alexandria).

```
LaZrIr
1.0
-0.9725 -4.3203 1.4712
1.6102 -3.6873 -2.3634
3.3716 -2.6550 1.8326
Zr Ir La
1 1 1
Cartesian
0.0000 0.0000 0.0000
2.0046 -5.3313 0.4702
3.0070 -7.9969 0.7053
```

Output
Energy of formation from the pure elements: 514 meV per atom

# Na4Pa3CuS8

Na4Pa3CuS8 after structural relaxation (GGA-PBE, Alexandria).

```
Na4Pa3CuS8
1.0
-3.3410 -0.0675 7.0407
7.2169 -1.5917 3.4094
-0.7136 6.3150 -4.5915
S Na Cu Pa
8 4 1 3
Cartesian
2.4702 1.8659 5.5034
3.7274 5.0500 -0.3785
-0.9389 2.7592 3.8943
0.6921 2.7899 0.3552
-0.5652 -0.3942 6.2371
1.1355 -0.3599 2.6531
2.0267 5.0157 3.2055
4.1012 1.8966 1.9643
0.0000 0.0000 0.0000
-1.6705 -0.0337 3.5203
-2.0273 3.1238 1.2246
-0.3568 3.1575 -2.2957
3.6084 -0.7959 1.7047
1.9379 -0.8296 5.2250
1.5811 2.3279 2.9293
3.2516 2.3616 -0.5911
```

Output
Energy relative to the elements, uncorrected: -1.296 eV per atom

# AuS3N

AuS3N after structural relaxation (GGA-PBE, Alexandria).

```
AuS3N
1.0
-4.1681 -0.3244 0.2575
0.4033 -3.7712 1.7775
0.0941 1.7936 3.7840
S N Au
3 1 1
Cartesian
-2.0840 -0.1622 0.1287
0.2017 -1.8856 0.8888
0.0471 0.8968 1.8920
0.0000 0.0000 0.0000
-1.8353 -1.1510 2.9095
```

Output
Energy relative to the elements, uncorrected: 1.332 eV per atom

no.,magnetic moment (Bohr magnetons per cell)
1,0.00
2,1.49
3,0.00
4,1.04
5,0.00
6,4.01
7,0.00